[1]
A plane-wave DFT calculation with GGA-PBEsol was carried out for crystalline CdInGaS4 at its relaxed geometry.

- Final energy: -0.153 hartree per atom
- Total magnetic moment: 0.0 μB/f.u.
- ρ: 4.4 Mg/m³

abc: 3.8429 3.8429 25.0839
angles: 90.00 90.00 120.00
Sites, in units of the cell vectors:
Cd: 0.0000 0.0000 0.7575
Cd: 0.0000 0.0000 0.2425
In: 0.3333 0.6667 0.6067
In: 0.6667 0.3333 0.3933
Ga: 0.3333 0.6667 0.0993
Ga: 0.6667 0.3333 0.9007
S: 0.3333 0.6667 0.4395
S: 0.6667 0.3333 0.2987
S: 0.3333 0.6667 0.9378
S: 0.6667 0.3333 0.5605
S: 0.3333 0.6667 0.1866
S: 0.3333 0.6667 0.7013
S: 0.6667 0.3333 0.8134
S: 0.6667 0.3333 0.0622



[2]
A plane-wave DFT calculation with GGA-PBEsol was carried out for crystalline Tm3Sn at its relaxed geometry.

- Final energy: -0.190 hartree per atom
- Total magnetic moment: 0.0 μB/f.u.
- ρ: 10.1 Mg/m³

abc: 4.5246 4.5246 5.9564
angles: 112.32 112.32 90.00
Sites, in units of the cell vectors:
Tm: 0.2500 0.7500 0.5000
Tm: 0.7500 0.2500 0.5000
Tm: 0.5000 0.5000 0.0000
Sn: 0.0000 0.0000 0.0000



[3]
A plane-wave DFT calculation with GGA-PBEsol was carried out for crystalline AlReSbI2 at its relaxed geometry.

- Final energy: -0.136 hartree per atom
- Total magnetic moment: 4.4 μB/f.u.
- ρ: 6.5 Mg/m³

abc: 5.2580 5.2580 5.4716
angles: 90.00 90.00 90.00
Each line ends with the local moment (μB).
Sites, in units of the cell vectors:
I: 0.0000 0.5000 0.0000  0.03
I: 0.5000 0.0000 0.0000  0.03
Re: 0.5000 0.5000 0.5000  3.82
Al: 0.0000 0.0000 0.0000  -0.01
Sb: 0.0000 0.0000 0.5000  -0.18



[4]
A plane-wave DFT calculation with GGA-PBEsol was carried out for crystalline Zr2IrPt at its relaxed geometry.

- Final energy: -0.357 hartree per atom
- Total magnetic moment: 0.0 μB/f.u.
- ρ: 13.0 Mg/m³

abc: 3.3216 4.3066 5.3704
angles: 90.00 108.01 90.00
Sites, in units of the cell vectors:
Ir: 0.8431 0.0000 0.6862
Zr: 0.1055 0.0000 0.2110
Zr: 0.3916 0.5000 0.7831
Pt: 0.6599 0.5000 0.3199



[5]
A plane-wave DFT calculation with GGA-PBEsol was carried out for crystalline Sc2BeW at its relaxed geometry.

- Final energy: -0.278 hartree per atom
- Total magnetic moment: 0.0 μB/f.u.
- ρ: 6.6 Mg/m³

abc: 3.0795 3.2279 7.1104
angles: 90.00 90.00 90.00
Sites, in units of the cell vectors:
Sc: 0.0000 0.0000 0.9311
Sc: 0.5000 0.5000 0.3081
Be: 0.5000 0.5000 0.7001
W: 0.0000 0.0000 0.5608



[6]
A plane-wave DFT calculation with GGA-PBEsol was carried out for crystalline TiBP2Cl at its relaxed geometry.

- Final energy: -0.182 hartree per atom
- Total magnetic moment: 0.0 μB/f.u.
- ρ: 2.5 Mg/m³

abc: 4.6810 4.6810 4.6405
angles: 90.00 90.00 90.00
Sites, in units of the cell vectors:
P: 0.0000 0.5000 0.0000
P: 0.5000 0.0000 0.0000
B: 0.5000 0.5000 0.5000
Cl: 0.0000 0.0000 0.5000
Ti: 0.0000 0.0000 0.0000



[7]
A plane-wave DFT calculation with GGA-PBEsol was carried out for crystalline Y2Si2Bi at its relaxed geometry.

- Final energy: -0.242 hartree per atom
- Total magnetic moment: 0.0 μB/f.u.
- ρ: 6.5 Mg/m³

abc: 4.0288 7.4825 7.4825
angles: 90.00 90.00 90.00
Sites, in units of the cell vectors:
Y: 0.5000 0.1794 0.6794
Y: 0.5000 0.6794 0.8206
Y: 0.5000 0.8206 0.3206
Y: 0.5000 0.3206 0.1794
Si: 0.0000 0.3895 0.8895
Si: 0.0000 0.8895 0.6105
Si: 0.0000 0.6105 0.1105
Si: 0.0000 0.1105 0.3895
Bi: 0.0000 0.0000 0.0000
Bi: 0.0000 0.5000 0.5000



[8]
A plane-wave DFT calculation with GGA-PBEsol was carried out for crystalline Sc5Pt at its relaxed geometry.

- Final energy: -0.258 hartree per atom
- Excess energy over the best structure of this formula in the dataset: 68 meV per atom
- Total magnetic moment: 0.0 μB/f.u.
- ρ: 5.6 Mg/m³

abc: 3.6492 4.7575 7.4427
angles: 90.00 104.19 90.00
Sites, in units of the cell vectors:
Pt: 0.0000 0.0000 0.0000
Sc: 0.1702 0.5000 0.3404
Sc: 0.3547 0.0000 0.7094
Sc: 0.5000 0.5000 0.0000
Sc: 0.6453 0.0000 0.2906
Sc: 0.8298 0.5000 0.6596



[9]
A plane-wave DFT calculation with GGA-PBEsol was carried out for crystalline Mn2BiO5 at its relaxed geometry.

- Final energy: -0.288 hartree per atom
- Total magnetic moment: 7.0 μB/f.u.
- ρ: 7.3 Mg/m³

abc: 5.7369 7.4504 8.5377
angles: 90.00 90.00 90.00
Each line ends with the local moment (μB).
Sites, in units of the cell vectors:
Mn: 0.7579 0.5000 0.5000  2.88
Mn: 0.2421 0.0000 0.0000  2.88
Mn: 0.2421 0.5000 0.5000  2.88
Mn: 0.7579 0.0000 0.0000  2.88
Mn: 0.0000 0.5945 0.1495  3.47
Mn: 0.0000 0.4055 0.8505  3.47
Mn: 0.0000 0.0945 0.3505  3.47
Mn: 0.0000 0.9055 0.6495  3.47
Bi: 0.5000 0.8505 0.3322  0.08
Bi: 0.5000 0.1495 0.6678  0.08
Bi: 0.5000 0.3505 0.1678  0.08
Bi: 0.5000 0.6495 0.8322  0.08
O: 0.5000 0.8428 0.0545  0.04
O: 0.5000 0.1572 0.9455  0.04
O: 0.5000 0.3428 0.4455  0.04
O: 0.5000 0.6572 0.5545  0.04
O: 0.0000 0.8492 0.0674  0.10
O: 0.0000 0.1508 0.9326  0.10
O: 0.0000 0.3492 0.4326  0.10
O: 0.0000 0.6508 0.5674  0.10
O: 0.7532 0.6078 0.2966  0.03
O: 0.7532 0.3922 0.7034  0.03
O: 0.2468 0.1078 0.2034  0.03
O: 0.2468 0.8922 0.7966  0.03
O: 0.2468 0.3922 0.7034  0.03
O: 0.2468 0.6078 0.2966  0.03
O: 0.7532 0.8922 0.7966  0.03
O: 0.7532 0.1078 0.2034  0.03
O: 0.7835 0.5000 0.0000  0.03
O: 0.2165 0.0000 0.5000  0.03
O: 0.2165 0.5000 0.0000  0.03
O: 0.7835 0.0000 0.5000  0.03



[10]
A plane-wave DFT calculation with GGA-PBEsol was carried out for crystalline PrSiGe at its relaxed geometry.

- Final energy: -0.219 hartree per atom
- Total magnetic moment: 0.0 μB/f.u.
- ρ: 6.2 Mg/m³

abc: 4.1200 4.1733 8.0505
angles: 105.02 104.83 90.00
Sites, in units of the cell vectors:
Pr: 0.6288 0.8788 0.2575
Pr: 0.3712 0.1212 0.7425
Ge: 0.0470 0.2970 0.0940
Ge: 0.9530 0.7030 0.9060
Si: 0.2115 0.4615 0.4230
Si: 0.7885 0.5385 0.5770



[11]
A plane-wave DFT calculation with GGA-PBEsol was carried out for crystalline Mg6Cu16Si7 at its relaxed geometry.

- Final energy: -0.160 hartree per atom
- Total magnetic moment: 0.0 μB/f.u.
- ρ: 5.9 Mg/m³

abc: 8.1544 8.1544 8.1544
angles: 60.00 60.00 60.00
Sites, in units of the cell vectors:
Mg: 0.7032 0.2968 0.7032
Mg: 0.2968 0.7032 0.7032
Mg: 0.7032 0.2968 0.2968
Mg: 0.2968 0.2968 0.7032
Mg: 0.7032 0.7032 0.2968
Mg: 0.2968 0.7032 0.2968
Cu: 0.6401 0.1200 0.1200
Cu: 0.8800 0.8800 0.8800
Cu: 0.8800 0.8800 0.3599
Cu: 0.8800 0.3599 0.8800
Cu: 0.1200 0.1200 0.6401
Cu: 0.1200 0.6401 0.1200
Cu: 0.1200 0.1200 0.1200
Cu: 0.3599 0.8800 0.8800
Cu: 0.0038 0.3321 0.3321
Cu: 0.6679 0.6679 0.6679
Cu: 0.6679 0.6679 0.9962
Cu: 0.6679 0.9962 0.6679
Cu: 0.3321 0.3321 0.0038
Cu: 0.3321 0.0038 0.3321
Cu: 0.3321 0.3321 0.3321
Cu: 0.9962 0.6679 0.6679
Si: 0.0000 0.0000 0.0000
Si: 0.5000 0.0000 0.5000
Si: 0.5000 0.0000 0.0000
Si: 0.0000 0.5000 0.5000
Si: 0.0000 0.5000 0.0000
Si: 0.5000 0.5000 0.0000
Si: 0.0000 0.0000 0.5000



[12]
A plane-wave DFT calculation with GGA-PBEsol was carried out for crystalline Ca2AgSn2 at its relaxed geometry.

- Final energy: -0.138 hartree per atom
- Excess energy over the best structure of this formula in the dataset: 0 meV per atom
- Total magnetic moment: 0.0 μB/f.u.
- ρ: 5.4 Mg/m³

abc: 4.8164 7.3580 7.3580
angles: 90.00 90.00 90.00
Sites, in units of the cell vectors:
Ca: 0.5000 0.1646 0.6646
Ca: 0.5000 0.6646 0.8354
Ca: 0.5000 0.8354 0.3354
Ca: 0.5000 0.3354 0.1646
Sn: 0.0000 0.3575 0.8575
Sn: 0.0000 0.8575 0.6425
Sn: 0.0000 0.6425 0.1425
Sn: 0.0000 0.1425 0.3575
Ag: 0.0000 0.0000 0.0000
Ag: 0.0000 0.5000 0.5000